(1)
Computed, not measured: a relaxed Nb2Bi crystal at the PBE level of DFT.

Unit cell a=4.4683 b=4.4683 c=7.5261 alpha=107.39 beta=107.39 gamma=90.03
Last column: nearest neighbours and their distance in Å.
Sites, in units of the cell vectors:
Nb 0.5000 0.0000 0.0000  4 Nb 2.78, 4 Bi 3.06
Nb 0.0000 0.5000 0.0000  4 Nb 2.78, 4 Bi 3.06
Nb 0.3771 0.3771 0.7565  4 Nb 2.78, 1 Bi 3.07
Nb 0.6229 0.6229 0.2435  4 Nb 2.78, 1 Bi 3.07
Bi 0.1540 0.1540 0.3060  9 Nb 3.06-3.19
Bi 0.8460 0.8460 0.6940  9 Nb 3.06-3.19

Volume: 136.2 Å³ per cell
ΔE_f: 105.3 meV per atom


(2)
Computed, not measured: a relaxed Ba4NpO5 crystal at the PBE level of DFT.

Unit cell a=5.7660 b=6.6762 c=6.6762 alpha=79.25 beta=64.42 gamma=64.42
Last column: nearest neighbours and their distance in Å.
Sites, in units of the cell vectors:
Ba 0.4087 0.3994 0.8012  5 O 2.70-2.91
Ba 0.8081 0.8012 0.6006  5 O 2.70-2.91
Ba 0.2099 0.1988 0.3994  5 O 2.70-2.91
Ba 0.6093 0.6006 0.1988  5 O 2.70-2.91
Np 0.0357 0.0000 0.0000  5 O 2.11-2.33
O 0.9216 0.3456 0.8295  1 Np 2.33
O 0.2672 0.8295 0.6544  1 Np 2.33
O 0.7511 0.1705 0.3456  1 Np 2.33
O 0.0968 0.6544 0.1705  1 Np 2.33
O 0.4019 0.0000 0.0000  1 Np 2.11

Volume: 209.1 Å³ per cell
Formation energy without anion corrections: -2.388 eV per atom


(3)
Computed, not measured: a relaxed Tb4Er7Cd crystal at the PBE level of DFT.

Unit cell a=5.5245 b=5.5245 c=13.7670 alpha=90.00 beta=90.00 gamma=120.00
Last column: nearest neighbours and their distance in Å.
Sites, in units of the cell vectors:
Tb 0.6667 0.3333 0.0713  7 Er 3.34-3.50, 1 Tb 3.35
Tb 0.3333 0.6667 0.9287  7 Er 3.34-3.50, 1 Tb 3.35
Tb 0.6667 0.3333 0.3148  7 Er 3.25-3.58, 1 Tb 3.35
Tb 0.3333 0.6667 0.6852  7 Er 3.25-3.58, 1 Tb 3.35
Er 0.0000 0.0000 0.0000  6 Tb 3.34, 2 Er 3.70
Er 0.6667 0.3333 0.5747  3 Cd 3.35, 1 Er 3.44, 4 Tb 3.53-3.58
Er 0.3333 0.6667 0.4253  3 Cd 3.35, 1 Er 3.44, 4 Tb 3.53-3.58
Er 0.6667 0.3333 0.8244  7 Tb 3.40-3.72, 4 Er 3.44
Er 0.3333 0.6667 0.1756  7 Tb 3.40-3.72, 4 Er 3.44
Er 0.0000 0.0000 0.2687  1 Cd 3.18, 3 Tb 3.25, 3 Er 3.44
Er 0.0000 0.0000 0.7313  1 Cd 3.18, 3 Tb 3.25, 3 Er 3.44
Cd 0.0000 0.0000 0.5000  8 Er 3.18-3.35

Volume: 363.9 Å³ per cell
ΔE_f: 64.0 meV per atom


(4)
Computed, not measured: a relaxed Ca3CuH6 crystal at the PBE level of DFT.

Unit cell a=5.1925 b=7.1604 c=7.1604 alpha=103.52 beta=90.00 gamma=90.00
Last column: nearest neighbours and their distance in Å.
Sites, in units of the cell vectors:
Ca 0.4721 0.9151 0.6956  5 H 2.22-2.37
Ca 0.9721 0.6956 0.9151  5 H 2.22-2.37
Ca 0.4423 0.3905 0.6095  7 H 2.27-2.43
Ca 0.9423 0.6095 0.3905  7 H 2.27-2.43
Ca 0.9721 0.0849 0.3044  5 H 2.22-2.37
Ca 0.4721 0.3044 0.0849  5 H 2.22-2.37
Cu 0.0099 0.1937 0.8063  4 H 1.66-1.72
Cu 0.5099 0.8063 0.1937  4 H 1.66-1.72
H 0.2086 0.6646 0.6496  4 Ca 2.22-2.27
H 0.7086 0.6496 0.6646  4 Ca 2.22-2.27
H 0.1695 0.4012 0.8869  1 Cu 1.68
H 0.6695 0.8869 0.4012  1 Cu 1.68
H 0.1404 0.0536 0.9464  1 Cu 1.72
H 0.6925 0.2126 0.7874  1 Cu 1.66
H 0.1925 0.7874 0.2126  1 Cu 1.66
H 0.6404 0.9464 0.0536  1 Cu 1.72
H 0.1695 0.1131 0.5988  1 Cu 1.68
H 0.6695 0.5988 0.1131  1 Cu 1.68
H 0.2086 0.3504 0.3354  4 Ca 2.22-2.27
H 0.7086 0.3354 0.3504  4 Ca 2.22-2.27

Volume: 258.9 Å³ per cell
Uncorrected energy: -3.42 eV/atom